Compound: AcNdCoCu
Source: Alexandria via LeMat-Bulk
Functional: PBE
Structure: optimized geometry

## Properties
Its density of states at the Fermi level is 3.80 states/eV per cell. Its total energy is -5.06 eV/atom. As for the space group: Amm2 (38). The distance to the lowest polymorph of the same formula comes out at 0 meV per atom.

Cell: 4.464 5.772 5.772 Å, 40.89 90.00 90.00°
Fractional positions:
Ac 0.000 0.000 0.000
Nd 0.500 0.722 0.722
Co 0.000 0.287 0.287
Cu 0.500 0.419 0.419